The following is a DFT calculation (SCAN) of a crystal of AsOs2Pt relaxed with PBEsol.

The total magnetic moment is 0.000 μB/f.u. The calculation puts the formation energy at 196 kJ/mol of formula units. The value obtained for the density of states at the Fermi level is 6.8 states/eV/cell.

The structure in extended XYZ format:
```
8
Lattice="4.109 0.000 0.000 0.000 4.109 0.000 0.000 0.000 6.870" Properties=species:S:1:pos:R:3 pbc="T T T"
As 0.000 0.000 0.000
As 2.054 2.054 3.435
Os 0.000 2.054 1.717
Os 0.000 2.054 5.152
Os 2.054 0.000 1.717
Os 2.054 0.000 5.152
Pt 0.000 0.000 3.435
Pt 2.054 2.054 0.000
```